(1)
Density functional theory data (PBE) for a geometry-optimized PrNdHgTe2 structure.

Calculated values
formation energy from raw total energies	-1134.7	meV/atom
total moment	0.00	μB per cell
DFT total energy	-0.32054	Ry per atom
symmetry	P4/nmm

Cell and atoms, written as extended XYZ:
```
10
Lattice="-1.7514 -1.2074 -3.9284 3.8549 -1.9631 -1.1153 -4.9525 -13.3025 6.2966" Properties=species:S:1:pos:R:3 pbc="T T T"
Pr -4.1910 -9.5085 2.2508
Pr 0.2902 -5.3793 1.5240
Nd -1.3130 -1.7784 -1.4082
Nd -2.5878 -13.1094 5.1830
Hg -2.4763 -6.6513 3.1483
Hg -1.4245 -8.2365 0.6265
Te -1.5493 -10.3200 3.8626
Te 1.3451 -2.5456 0.1827
Te -5.2459 -12.3421 3.5921
Te -2.3515 -4.5678 -0.0878
```

=====

(2)
Density functional theory data (PBE) for a geometry-optimized PrNdHgTe structure.

Calculated values
formation energy from raw total energies	-747.5	meV/atom
total moment	0.00	μB per cell
DFT total energy	-0.29364	Ry per atom
symmetry	F-43m
distance to the lowest polymorph of the same formula	0.176	eV per atom

Cell and atoms, written as extended XYZ:
```
4
Lattice="5.4744 0.0000 0.0000 2.7372 4.7409 0.0000 2.7372 1.5803 4.4698" Properties=species:S:1:pos:R:3 pbc="T T T"
Pr 5.4744 3.1606 2.2349
Te 8.2116 4.7409 3.3524
Nd 0.0000 0.0000 0.0000
Hg 2.7372 1.5803 1.1175
```

=====

(3)
Density functional theory data (PBE) for a geometry-optimized PrNd2Tl2Hg2 structure.

Calculated values
DFT formation energy	-241	meV/atom
total moment	0.00	μB per cell
DFT total energy	-0.22403	Ry per atom
symmetry	R-3m

Cell and atoms, written as extended XYZ:
```
7
Lattice="5.0602 0.0000 0.0000 2.5301 4.3823 0.0000 2.5301 1.4608 9.1889" Properties=species:S:1:pos:R:3 pbc="T T T"
Pr 0.0000 0.0000 0.0000
Nd 2.5301 1.4608 5.4937
Nd 7.5903 4.3823 3.6953
Tl 7.5903 4.3823 7.5132
Tl 2.5301 1.4608 1.6757
Hg 5.0602 2.9215 2.7049
Hg 5.0602 2.9215 6.4840
```

=====

(4)
Density functional theory data (PBE) for a geometry-optimized PrNdTlHg structure.

Calculated values
DFT formation energy	-432	meV/atom
total moment	0.92	μB per cell
DFT total energy	-0.25620	Ry per atom
symmetry	F-43m

Cell and atoms, written as extended XYZ:
```
4
Lattice="5.5048 0.0000 0.0000 2.7524 4.7673 0.0000 2.7524 1.5891 4.4947" Properties=species:S:1:pos:R:3 pbc="T T T"
Pr 2.7524 1.5891 1.1237
Tl 0.0000 0.0000 0.0000
Nd 8.2572 4.7673 3.3710
Hg 5.5048 3.1782 2.2473
```

=====

(5)
Density functional theory data (PBE) for a geometry-optimized Pr3Nd3TlHg2 structure.

Calculated values
DFT formation energy	-255	meV/atom
total moment	0.00	μB per cell
DFT total energy	-0.27687	Ry per atom
symmetry	P-62m

Cell and atoms, written as extended XYZ:
```
9
Lattice="3.8550 0.0000 0.0000 0.0000 9.1780 0.0000 0.0000 -4.5890 7.9483" Properties=species:S:1:pos:R:3 pbc="T T T"
Pr 1.9275 6.5577 0.0000
Pr 1.9275 -3.2789 5.6792
Pr 1.9275 1.3101 2.2692
Nd 0.0000 2.8023 4.8537
Nd 0.0000 -1.7867 3.0946
Nd 0.0000 3.5733 0.0000
Tl 0.0000 0.0000 0.0000
Hg 1.9275 4.5890 2.6494
Hg 1.9275 0.0000 5.2989
```

=====

(6)
Density functional theory data (PBE) for a geometry-optimized Pr2NdTl2Hg2 structure.

Calculated values
DFT formation energy	-234	meV/atom
total moment	0.00	μB per cell
DFT total energy	-0.22366	Ry per atom
symmetry	R-3m

Cell and atoms, written as extended XYZ:
```
7
Lattice="-1.0966 3.2377 3.7283 -1.8449 -1.7217 4.3837 7.5909 -0.3560 5.9730" Properties=species:S:1:pos:R:3 pbc="T T T"
Pr 4.1440 -0.0096 4.6584
Pr 0.5054 1.1696 9.4266
Nd 0.0000 0.0000 0.0000
Tl 4.1090 0.8075 10.8010
Tl 0.5404 0.3525 3.2840
Hg 0.5066 0.7627 6.3491
Hg 4.1427 0.3973 7.7359
```

=====

(7)
Density functional theory data (PBE) for a geometry-optimized Pr2Nd2TmHg5 structure.

Calculated values
DFT formation energy	-312	meV/atom
total moment	0.00	μB per cell
DFT total energy	-0.20721	Ry per atom
symmetry	P4/mbm

Cell and atoms, written as extended XYZ:
```
20
Lattice="-1.3300 2.2673 -2.8169 -3.7086 -10.0109 -6.3066 -11.0305 0.5344 5.6383" Properties=species:S:1:pos:R:3 pbc="T T T"
Pr -4.1422 -6.4765 -3.2571
Pr -10.5969 -3.0001 2.5887
Pr -4.3787 -1.3697 0.9650
Pr -10.3604 -8.1069 -1.6334
Nd -7.7054 -1.1410 2.7198
Nd -7.0337 -8.3356 -3.3882
Nd -11.7968 -6.0381 0.7100
Nd -2.9423 -3.4385 -1.3784
Tm 0.0000 0.0000 0.0000
Tm -7.3696 -4.7383 -0.3342
Hg -2.6018 -0.2064 -1.5726
Hg -13.4673 -7.0028 -1.9127
Hg -10.6191 0.3087 2.6275
Hg -7.1415 -5.0818 -3.3533
Hg -5.4500 -7.5179 -6.1127
Hg -8.9277 -2.1274 -0.1320
Hg -10.0624 -4.8136 -1.7583
Hg -6.0067 -2.3957 -1.7270
Hg -2.5193 -3.8718 -4.5618
Hg -6.1802 1.4008 1.4107
```

=====

(8)
Density functional theory data (PBE) for a geometry-optimized PrNdYHg structure.

Calculated values
DFT formation energy	-239	meV/atom
total moment	0.00	μB per cell
DFT total energy	-0.31731	Ry per atom
symmetry	P4mm

Cell and atoms, written as extended XYZ:
```
4
Lattice="3.7086 0.0000 0.0000 0.0000 3.7086 0.0000 0.0000 0.0000 9.0314" Properties=species:S:1:pos:R:3 pbc="T T T"
Pr 0.0000 0.0000 0.6947
Nd 1.8543 1.8543 7.1415
Y 1.8543 1.8543 3.2302
Hg 0.0000 0.0000 5.0520
```

=====

Which value of total moment does entry 8 give?
0.00 μB per cell

=====

What is the DFT total energy in the fourth record?
-0.25620 Ry per atom